Material: Cs2Dy2NpSe6
Method: DFT, PBE-GGA
State: relaxed

abc: 7.258 7.258 8.936
angles: 97.97 97.97 119.97
Fractional positions:
1 Cs 0.169 0.831 0.000
2 Cs 0.831 0.169 0.000
3 Dy 0.333 0.667 0.500
4 Dy 0.667 0.333 0.500
5 Np 0.000 0.000 0.500
6 Se 0.062 0.391 0.682
7 Se 0.267 0.267 0.319
8 Se 0.391 0.062 0.682
9 Se 0.609 0.938 0.318
10 Se 0.733 0.733 0.681
11 Se 0.938 0.609 0.318

Properties
DOS at the Fermi energy, states/eV/f.u.: 4.623
Raw total energy, eV/atom: -5.647
Formation energy without anion corrections, eV/atom: -1.58
Calculated volume, Å³ per cell: 392


Material: Cs3Dy2NpTe6
Method: DFT, PBE-GGA
State: relaxed

abc: 7.960 7.960 9.281
angles: 98.22 98.22 120.01
Fractional positions:
1 Cs 0.000 0.000 0.000
2 Cs 0.334 0.666 0.000
3 Cs 0.666 0.334 0.000
4 Dy 0.167 0.833 0.500
5 Dy 0.833 0.167 0.500
6 Np 0.500 0.500 0.500
7 Te 0.099 0.437 0.311
8 Te 0.225 0.225 0.689
9 Te 0.437 0.099 0.311
10 Te 0.563 0.901 0.689
11 Te 0.775 0.775 0.311
12 Te 0.901 0.563 0.689

Properties
DOS at the Fermi energy, states/eV/f.u.: 3.858
Raw total energy, eV/atom: -4.841
Formation energy without anion corrections, eV/atom: -1.21
Calculated volume, Å³ per cell: 488


Material: Cs2DyNp2Te6
Method: DFT, PBE-GGA
State: relaxed

abc: 7.750 7.750 9.512
angles: 97.77 97.77 120.03
Fractional positions:
1 Cs 0.166 0.834 0.000
2 Cs 0.834 0.166 0.000
3 Dy 0.000 0.000 0.500
4 Np 0.333 0.667 0.500
5 Np 0.667 0.333 0.500
6 Te 0.064 0.397 0.688
7 Te 0.274 0.274 0.313
8 Te 0.397 0.064 0.688
9 Te 0.603 0.936 0.312
10 Te 0.726 0.726 0.687
11 Te 0.936 0.603 0.312

Properties
DOS at the Fermi energy, states/eV/f.u.: 19.288
Raw total energy, eV/atom: -5.649
Formation energy without anion corrections, eV/atom: -1.01
Calculated volume, Å³ per cell: 476


Material: Cs2Dy2NpTe6
Method: DFT, PBE-GGA
State: relaxed

abc: 7.713 7.713 9.549
angles: 97.88 97.88 120.01
Fractional positions:
1 Cs 0.168 0.832 0.000
2 Cs 0.832 0.168 0.000
3 Dy 0.333 0.667 0.500
4 Dy 0.667 0.333 0.500
5 Np 0.000 0.000 0.500
6 Te 0.066 0.394 0.688
7 Te 0.268 0.268 0.313
8 Te 0.394 0.066 0.688
9 Te 0.606 0.934 0.312
10 Te 0.732 0.732 0.687
11 Te 0.934 0.606 0.312

Properties
DOS at the Fermi energy, states/eV/f.u.: 3.022
Raw total energy, eV/atom: -5.065
Formation energy without anion corrections, eV/atom: -1.18
Calculated volume, Å³ per cell: 473